No. 1
First-principles (GGA-PBE) data for a relaxed La2Pm2PrY6 crystal, as listed in Alexandria via LeMat-Bulk.

Lattice parameters (Å, degrees): 6.747 6.747 12.118 101.80 101.80 129.24
Fractional positions:
1 Y 0.847 0.547 0.197
2 La 0.711 0.289 0.500
3 Pr 0.000 0.000 0.500
4 Pm 0.870 0.130 0.000
5 Y 0.708 0.708 0.708
6 Y 0.547 0.847 0.197
7 Pm 0.130 0.870 0.000
8 Y 0.453 0.153 0.803
9 Y 0.292 0.292 0.292
10 La 0.289 0.711 0.500
11 Y 0.153 0.453 0.803

## Properties
As for the total energy: -5.584 eV per atom. For the calculated volume, the calculation gives 375.4 Å³ per cell. As for the energy of formation: 0.1356 eV/atom. As for the space group: No. 65.

***

No. 2
First-principles (GGA-PBE) data for a relaxed La2PmPr5Y crystal, as listed in Alexandria via LeMat-Bulk.

Lattice parameters (Å, degrees): 8.823 8.823 10.415 115.06 115.06 90.00
Fractional positions:
1 Pm 0.250 0.250 0.500
2 Pr 0.863 0.923 0.286
3 Y 0.750 0.250 0.500
4 Pr 0.637 0.137 0.714
5 Pr 0.000 0.000 0.000
6 La 0.120 0.380 0.000
7 Pr 0.363 0.863 0.286
8 Pm 0.750 0.750 0.500
9 Pr 0.577 0.637 0.714
10 La 0.620 0.120 0.000
11 Pr 0.077 0.577 0.714
12 La 0.880 0.620 0.000
13 Pr 0.137 0.077 0.714
14 Y 0.250 0.750 0.500
15 La 0.380 0.880 0.000
16 Pr 0.500 0.500 0.000
17 Pr 0.923 0.423 0.286
18 Pr 0.423 0.363 0.286

## Properties
As for the total energy: -4.755 eV per atom. For the calculated volume, the calculation gives 649.1 Å³ per cell. As for the energy of formation: 0.2411 eV/atom. As for the space group: No. 140.

***

No. 3
First-principles (GGA-PBE) data for a relaxed La3PmPr6Y2 crystal, as listed in Alexandria via LeMat-Bulk.

Lattice parameters (Å, degrees): 6.406 6.406 12.227 95.03 95.03 120.03
Fractional positions:
1 Y 0.667 0.333 0.000
2 Pr 0.082 0.415 0.246
3 La 0.500 0.500 0.500
4 Pr 0.918 0.585 0.754
5 La 0.167 0.833 0.500
6 Pm 0.000 0.000 0.000
7 Pr 0.749 0.749 0.246
8 Pr 0.415 0.082 0.246
9 Y 0.333 0.667 0.000
10 Pr 0.251 0.251 0.754
11 La 0.833 0.167 0.500
12 Pr 0.585 0.918 0.754

## Properties
As for the total energy: -5.081 eV per atom. For the calculated volume, the calculation gives 427.7 Å³ per cell. As for the energy of formation: 0.0141 eV/atom. As for the space group: No. 12.

***

No. 4
First-principles (GGA-PBE) data for a relaxed La2PmPr6Y3 crystal, as listed in Alexandria via LeMat-Bulk.

Lattice parameters (Å, degrees): 6.390 6.390 12.137 95.03 95.03 120.04
Fractional positions:
1 Y 0.500 0.500 0.500
2 Pr 0.582 0.915 0.746
3 Pr 0.752 0.752 0.254
4 Pr 0.915 0.582 0.746
5 La 0.667 0.333 0.000
6 Pr 0.248 0.248 0.746
7 Pm 0.000 0.000 0.000
8 Y 0.833 0.167 0.500
9 Y 0.167 0.833 0.500
10 La 0.333 0.667 0.000
11 Pr 0.418 0.085 0.254
12 Pr 0.085 0.418 0.254

## Properties
As for the total energy: -5.210 eV per atom. For the calculated volume, the calculation gives 422.4 Å³ per cell. As for the energy of formation: 0.0133 eV/atom. As for the space group: No. 12.